Here is an optimized crystal structure of CaYCo2 from Alexandria via LeMat-Bulk. Energies are from PBE-GGA.

Unit cell a=4.708 b=4.708 c=4.708 alpha=60.00 beta=60.00 gamma=60.00
Atoms (fractional coordinates):
Ca 0.000 0.000 0.000
Y 0.250 0.250 0.250
Co 0.500 0.500 0.500
Co 0.750 0.750 0.750

Calculated values
Polymorph energy (0 for the lowest one)   497 meV per atom
SG   F-43m
Calculated formation energy   0.476 eV/atom
Uncorrected energy   -20.77 eV per cell

Here is an optimized crystal structure of CaY2ZnCo from Alexandria via LeMat-Bulk. Energies are from PBE-GGA.

Unit cell a=5.142 b=5.142 c=4.919 alpha=90.00 beta=90.00 gamma=90.00
Atoms (fractional coordinates):
Ca 0.000 0.000 0.000
Y 0.000 0.500 0.500
Y 0.500 0.000 0.500
Zn 0.500 0.500 0.000
Co 0.500 0.500 0.500

Calculated values
SG   P4/mmm
Calculated formation energy   -0.037 eV/atom
Uncorrected energy   -23.49 eV per cell

Here is an optimized crystal structure of CaZn2Co from Alexandria via LeMat-Bulk. Energies are from PBE-GGA.

Unit cell a=4.069 b=4.069 c=4.266 alpha=90.00 beta=90.00 gamma=90.00
Atoms (fractional coordinates):
Ca 0.000 0.000 0.000
Zn 0.000 0.500 0.500
Zn 0.500 0.000 0.500
Co 0.500 0.500 0.000

Calculated values
SG   P4/mmm
Calculated formation energy   0.184 eV/atom
Uncorrected energy   -10.92 eV per cell

Here is an optimized crystal structure of CaZn2Co from Alexandria via LeMat-Bulk. Energies are from PBE-GGA.

Unit cell a=4.217 b=4.217 c=5.617 alpha=112.23 beta=112.23 gamma=60.00
Atoms (fractional coordinates):
Ca 0.000 0.000 0.000
Zn 0.521 0.521 0.562
Zn 0.805 0.805 0.416
Co 0.189 0.189 0.565

Calculated values
SG   Cm
Calculated formation energy   -0.064 eV/atom
Uncorrected energy   -11.91 eV per cell

Here is an optimized crystal structure of CaZnCo from Alexandria via LeMat-Bulk. Energies are from PBE-GGA.

Unit cell a=4.416 b=4.416 c=4.416 alpha=60.00 beta=60.00 gamma=60.00
Atoms (fractional coordinates):
Ca 0.000 0.000 0.000
Zn 0.500 0.500 0.500
Co 0.250 0.250 0.250

Calculated values
SG   F-43m
Calculated formation energy   0.324 eV/atom
Uncorrected energy   -9.41 eV per cell

Here is an optimized crystal structure of CaZn2Co from Alexandria via LeMat-Bulk. Energies are from PBE-GGA.

Unit cell a=4.976 b=4.976 c=2.983 alpha=90.00 beta=90.00 gamma=112.13
Atoms (fractional coordinates):
Ca 0.000 0.000 0.000
Zn 0.000 0.500 0.500
Zn 0.500 0.000 0.500
Co 0.500 0.500 0.000

Calculated values
SG   Cmmm
Calculated formation energy   0.293 eV/atom
Uncorrected energy   -10.48 eV per cell

Here is an optimized crystal structure of CaZn2Co from Alexandria via LeMat-Bulk. Energies are from PBE-GGA.

Unit cell a=5.234 b=5.234 c=5.234 alpha=141.68 beta=126.85 gamma=67.39
Atoms (fractional coordinates):
Ca 0.000 0.000 0.000
Zn 0.284 0.784 0.500
Zn 0.529 0.529 0.000
Co 0.730 0.230 0.500

Calculated values
SG   Imm2
Calculated formation energy   0.166 eV/atom
Uncorrected energy   -10.99 eV per cell

Here is an optimized crystal structure of CaZnCo2 from Alexandria via LeMat-Bulk. Energies are from PBE-GGA.

Unit cell a=4.473 b=4.473 c=4.473 alpha=60.00 beta=60.00 gamma=60.00
Atoms (fractional coordinates):
Ca 0.000 0.000 0.000
Zn 0.750 0.750 0.750
Co 0.250 0.250 0.250
Co 0.500 0.500 0.500

Calculated values
SG   F-43m
Calculated formation energy   0.329 eV/atom
Uncorrected energy   -16.17 eV per cell

Here is an optimized crystal structure of CaZnCo from Alexandria via LeMat-Bulk. Energies are from PBE-GGA.

Unit cell a=4.324 b=4.324 c=6.385 alpha=90.00 beta=90.00 gamma=90.00
Atoms (fractional coordinates):
Ca 0.250 0.250 0.193
Ca 0.750 0.750 0.807
Zn 0.250 0.250 0.673
Zn 0.750 0.750 0.327
Co 0.250 0.750 0.500
Co 0.750 0.250 0.500

Calculated values
SG   P4/nmm
Calculated formation energy   -0.026 eV/atom
Uncorrected energy   -20.92 eV per cell

Here is an optimized crystal structure of CaZn2Co from Alexandria via LeMat-Bulk. Energies are from PBE-GGA.

Unit cell a=4.944 b=4.944 c=4.944 alpha=131.02 beta=131.02 gamma=71.79
Atoms (fractional coordinates):
Ca 0.000 0.000 0.000
Zn 0.250 0.750 0.500
Zn 0.750 0.250 0.500
Co 0.500 0.500 0.000

Calculated values
SG   I4/mmm
Calculated formation energy   0.089 eV/atom
Uncorrected energy   -11.30 eV per cell

Here is an optimized crystal structure of Ca2ZnCo from Alexandria via LeMat-Bulk. Energies are from PBE-GGA.

Unit cell a=3.897 b=3.897 c=8.519 alpha=98.77 beta=98.77 gamma=50.91
Atoms (fractional coordinates):
Ca 0.242 0.242 0.218
Ca 0.758 0.758 0.782
Zn 0.000 0.000 0.500
Co 0.500 0.500 0.000

Calculated values
SG   C2/m
Calculated formation energy   0.326 eV/atom
Uncorrected energy   -11.08 eV per cell

Here is an optimized crystal structure of CaZnCo2 from Alexandria via LeMat-Bulk. Energies are from PBE-GGA.

Unit cell a=8.722 b=8.722 c=8.722 alpha=19.81 beta=19.81 gamma=19.81
Atoms (fractional coordinates):
Ca 0.000 0.000 0.000
Zn 0.230 0.230 0.230
Co 0.487 0.487 0.487
Co 0.758 0.758 0.758

Calculated values
SG   R3m
Calculated formation energy   0.495 eV/atom
Uncorrected energy   -15.51 eV per cell

Here is an optimized crystal structure of CaZnCo2 from Alexandria via LeMat-Bulk. Energies are from PBE-GGA.

Unit cell a=5.099 b=5.099 c=2.721 alpha=101.26 beta=101.26 gamma=113.36
Atoms (fractional coordinates):
Ca 0.000 0.000 0.000
Zn 0.500 0.500 0.000
Co 0.000 0.500 0.500
Co 0.500 0.000 0.500

Calculated values
SG   C2/m
Calculated formation energy   0.440 eV/atom
Uncorrected energy   -15.73 eV per cell

Here is an optimized crystal structure of CaZn2Co from Alexandria via LeMat-Bulk. Energies are from PBE-GGA.

Unit cell a=5.674 b=5.674 c=5.674 alpha=42.90 beta=42.90 gamma=42.90
Atoms (fractional coordinates):
Ca 0.000 0.000 0.000
Zn 0.201 0.201 0.201
Zn 0.799 0.799 0.799
Co 0.500 0.500 0.500

Calculated values
SG   R-3m
Calculated formation energy   -0.065 eV/atom
Uncorrected energy   -11.92 eV per cell

Here is an optimized crystal structure of CaZnCo2 from Alexandria via LeMat-Bulk. Energies are from PBE-GGA.

Unit cell a=3.073 b=3.087 c=6.888 alpha=90.00 beta=90.00 gamma=90.00
Atoms (fractional coordinates):
Ca 0.000 0.000 0.000
Zn 0.500 0.500 0.330
Co 0.000 0.000 0.545
Co 0.500 0.500 0.696

Calculated values
SG   Pmm2
Calculated formation energy   0.136 eV/atom
Uncorrected energy   -16.94 eV per cell

Here is an optimized crystal structure of CaZn2Co from Alexandria via LeMat-Bulk. Energies are from PBE-GGA.

Unit cell a=5.375 b=5.375 c=5.375 alpha=144.37 beta=128.89 gamma=63.86
Atoms (fractional coordinates):
Ca 0.000 0.000 0.000
Zn 0.291 0.791 0.500
Zn 0.709 0.209 0.500
Co 0.500 0.500 0.000

Calculated values
SG   Immm
Calculated formation energy   0.062 eV/atom
Uncorrected energy   -11.41 eV per cell

Here is an optimized crystal structure of Ca2ZnCo from Alexandria via LeMat-Bulk. Energies are from PBE-GGA.

Unit cell a=4.218 b=5.795 c=5.795 alpha=42.82 beta=90.00 gamma=90.00
Atoms (fractional coordinates):
Ca 0.000 0.000 0.000
Ca 0.500 0.285 0.285
Zn 0.500 0.586 0.586
Co 0.000 0.695 0.695

Calculated values
SG   Amm2
Calculated formation energy   -0.003 eV/atom
Uncorrected energy   -12.39 eV per cell

Here is an optimized crystal structure of CaZn3Co from Alexandria via LeMat-Bulk. Energies are from PBE-GGA.

Unit cell a=6.592 b=6.592 c=5.016 alpha=90.00 beta=90.00 gamma=127.04
Atoms (fractional coordinates):
Ca 0.106 0.894 0.750
Ca 0.894 0.106 0.250
Zn 0.132 0.418 0.750
Zn 0.313 0.687 0.250
Zn 0.418 0.132 0.250
Zn 0.582 0.868 0.750
Zn 0.687 0.313 0.750
Zn 0.868 0.582 0.250
Co 0.500 0.500 0.000
Co 0.500 0.500 0.500

Calculated values
Polymorph energy (0 for the lowest one)   0 meV per atom
SG   Cmcm
Calculated formation energy   -0.150 eV/atom
Uncorrected energy   -27.36 eV per cell

Here is an optimized crystal structure of Ca4ZnCo from Alexandria via LeMat-Bulk. Energies are from PBE-GGA.

Unit cell a=6.495 b=6.495 c=6.495 alpha=60.00 beta=60.00 gamma=60.00
Atoms (fractional coordinates):
Ca 0.125 0.125 0.125
Ca 0.125 0.125 0.626
Ca 0.125 0.626 0.125
Ca 0.626 0.125 0.125
Zn 0.500 0.500 0.500
Co 0.750 0.750 0.750

Calculated values
SG   F-43m
Calculated formation energy   0.842 eV/atom
Uncorrected energy   -11.33 eV per cell

Here is an optimized crystal structure of CaZn3Co from Alexandria via LeMat-Bulk. Energies are from PBE-GGA.

Unit cell a=4.604 b=4.604 c=4.604 alpha=90.00 beta=90.00 gamma=90.00
Atoms (fractional coordinates):
Ca 0.000 0.000 0.000
Zn 0.000 0.500 0.500
Zn 0.500 0.000 0.500
Zn 0.500 0.500 0.000
Co 0.500 0.500 0.500

Calculated values
Polymorph energy (0 for the lowest one)   65 meV per atom
SG   Pm-3m
Calculated formation energy   -0.085 eV/atom
Uncorrected energy   -13.36 eV per cell

Computed total magnetic moment, in the same sequence as the records: 2.20; 0.00; 1.08; 0.00; 0.53; 0.84; 0.67; 2.84; 0.00; 0.55; 0.80; 3.22; 2.18; 0.00; 3.26; 0.36; 0.58; 2.04; 1.01; 0.00 μB/cell.